1.
Entry from Alexandria: a relaxed Nd3GaRh3 crystal (GGA-PBE).

Geometry as POSCAR:
```
Nd3GaRh3
1.0
-2.044 1.438 -3.325
4.634 -3.013 -1.550
-7.675 -11.639 -0.316
Nd Ga Rh
6 2 6
direct
0.205 0.409 0.894
0.795 0.591 0.106
0.205 0.409 0.606
0.795 0.591 0.394
0.481 0.961 0.750
0.519 0.039 0.250
0.500 0.000 0.000
0.500 0.000 0.500
0.921 0.842 0.912
0.079 0.158 0.088
0.921 0.842 0.588
0.079 0.158 0.412
0.759 0.518 0.750
0.241 0.482 0.250
```

Calculated values
symmetry: No. 63
total magnetization: 0.00 μB/f.u.
Fermi-level density of states: 4.41 states/eV/f.u.
E_tot: -0.4689 Ry per atom

---

2.
Entry from Alexandria: a relaxed Cd2HRh crystal (GGA-PBE).

Geometry as POSCAR:
```
Cd2HRh
1.0
0.000 3.195 3.195
3.195 0.000 3.195
3.195 3.195 0.000
H Rh Cd
1 1 2
direct
0.000 0.000 0.000
0.500 0.500 0.500
0.250 0.250 0.250
0.750 0.750 0.750
```

Calculated values
symmetry: No. 225
total magnetization: 0.50 μB/f.u.
Fermi-level density of states: 1.69 states/eV/f.u.
E_tot: -0.1916 Ry per atom

---

3.
Entry from Alexandria: a relaxed Pm12Ir6Ru crystal (GGA-PBE).

Geometry as POSCAR:
```
Pm12Ir6Ru
1.0
8.323 -0.070 -0.084
-1.331 8.216 -0.084
-1.331 -1.551 8.069
Pm Ir Ru
12 6 1
direct
0.824 0.580 0.418
0.418 0.824 0.580
0.580 0.418 0.824
0.176 0.420 0.582
0.582 0.176 0.420
0.420 0.582 0.176
0.076 0.953 0.322
0.047 0.678 0.924
0.678 0.924 0.047
0.924 0.047 0.678
0.953 0.322 0.076
0.322 0.076 0.953
0.692 0.865 0.382
0.618 0.308 0.135
0.135 0.618 0.308
0.308 0.135 0.618
0.382 0.692 0.865
0.865 0.382 0.692
0.000 0.000 0.000
```

Calculated values
symmetry: No. 148
total magnetization: 0.00 μB/f.u.
Fermi-level density of states: 6.40 states/eV/f.u.
E_tot: -0.5006 Ry per atom

---

4.
Entry from Alexandria: a relaxed Hf4InH crystal (GGA-PBE).

Geometry as POSCAR:
```
Hf4InH
1.0
5.183 0.000 -0.411
0.000 6.126 0.000
-2.012 -3.063 7.287
Hf In H
8 2 2
direct
0.194 0.697 0.393
0.386 0.138 0.777
0.000 0.254 0.000
0.614 0.361 0.223
0.806 0.303 0.607
0.614 0.862 0.223
0.000 0.746 0.000
0.386 0.639 0.777
0.809 0.812 0.623
0.191 0.188 0.377
0.301 0.578 0.157
0.699 0.422 0.843
```

Calculated values
symmetry: No. 12
total magnetization: 0.00 μB/f.u.
Fermi-level density of states: 4.41 states/eV/f.u.
E_tot: -0.5690 Ry per atom